(1)
VASP calculation (PBE) on crystalline YEr7Sc3 at its relaxed geometry.

Geometry as POSCAR:
```
YEr7Sc3
1.0
8.2114 0.0000 0.0000
0.0000 6.8976 0.0000
0.0000 -3.4488 5.9735
Er Sc Y
7 3 1
Direct
0.1066 0.6644 0.8322 Er
0.1171 0.6667 0.3333 Er
0.1066 0.1678 0.3356 Er
0.4589 0.8319 0.6637 Er
0.4589 0.3363 0.1681 Er
0.1066 0.1678 0.8322 Er
0.4589 0.8319 0.1681 Er
0.7840 0.9988 0.4994 Sc
0.7840 0.5006 0.0012 Sc
0.7840 0.5006 0.4994 Sc
0.4496 0.3333 0.6667 Y
```

## Properties
The value obtained for the excess energy over the best structure of this formula in the dataset is 0.894 eV/f.u. Its energy of formation is 0.225 eV per atom.

(2)
VASP calculation (PBE) on crystalline Tb6Pr3NdY2 at its relaxed geometry.

Geometry as POSCAR:
```
Tb6Pr3NdY2
1.0
6.2625 -0.0005 0.0058
-3.1302 5.4241 0.0058
-1.0524 -1.8222 11.7699
Tb Pr Nd Y
6 3 1 2
Direct
0.7494 0.7494 0.2475 Tb
0.2506 0.2506 0.7525 Tb
0.0828 0.4161 0.2475 Tb
0.9172 0.5839 0.7525 Tb
0.4161 0.0828 0.2475 Tb
0.5839 0.9172 0.7525 Tb
0.5000 0.5000 0.5000 Pr
0.8332 0.1668 0.5000 Pr
0.1668 0.8332 0.5000 Pr
0.0000 0.0000 0.0000 Nd
0.6668 0.3332 0.0000 Y
0.3332 0.6668 0.0000 Y
```

## Properties
Its energy of formation is 0.016 eV per atom.

(3)
VASP calculation (PBE) on crystalline CdAs5 at its relaxed geometry.

Geometry as POSCAR:
```
CdAs5
1.0
2.2660 -8.2592 0.0000
2.2660 8.2592 0.0000
0.0000 0.0000 3.5775
As Cd
5 1
Direct
0.4439 0.5561 0.5000 As
0.6403 0.3597 0.0000 As
0.3375 0.6625 0.0000 As
0.1589 0.8411 0.5000 As
0.7550 0.2450 0.5000 As
0.9977 0.0023 0.0000 Cd
```

## Properties
The value obtained for the excess energy over the best structure of this formula in the dataset is 0.966 eV/f.u. Its energy of formation is 0.256 eV per atom.

(4)
VASP calculation (PBE) on crystalline Ba2IrPb2 at its relaxed geometry.

Geometry as POSCAR:
```
Ba2IrPb2
1.0
-2.4971 -6.8980 1.9339
6.4442 -1.2681 3.7977
-2.2973 2.1233 4.6073
Pb Ba Ir
4 4 2
Direct
0.8512 0.6488 0.0000 Pb
0.6488 0.1488 0.0000 Pb
0.3512 0.8512 0.0000 Pb
0.1488 0.3512 0.0000 Pb
0.1693 0.6693 0.5000 Ba
0.3307 0.1693 0.5000 Ba
0.6693 0.8307 0.5000 Ba
0.8307 0.3307 0.5000 Ba
0.5000 0.5000 0.0000 Ir
0.0000 0.0000 0.0000 Ir
```

## Properties
Its energy of formation is -0.109 eV per atom.

(5)
VASP calculation (PBE) on crystalline TmHS at its relaxed geometry.

Geometry as POSCAR:
```
TmHS
1.0
-1.3060 4.0218 -0.5867
-3.4966 1.4212 1.9946
0.3549 2.8427 3.1650
S Tm H
1 1 1
Direct
0.5000 0.5000 0.5000 S
0.2500 0.2500 0.2500 Tm
0.0000 0.0000 0.0000 H
```

## Properties
The value obtained for the raw total energy is -15.69 eV/f.u.

(6)
VASP calculation (PBE) on crystalline Zr3BiH at its relaxed geometry.

Geometry as POSCAR:
```
Zr3BiH
1.0
-1.1787 3.3841 4.0727
-4.2254 -0.9895 -3.2550
2.5531 -4.5020 1.6255
Zr H Bi
3 1 1
Direct
0.1993 0.6196 0.6196 Zr
0.6196 0.1993 0.6196 Zr
0.6196 0.6196 0.1993 Zr
0.4621 0.4621 0.4621 H
0.9744 0.9744 0.9744 Bi
```

## Properties
The value obtained for the excess energy over the best structure of this formula in the dataset is 2.478 eV/f.u.